DFT (PBE) results for crystalline AsP3 at its relaxed geometry.

Cell lengths 5.044, 5.044, 5.044 Å; angles 90.00, 90.00, 90.00 degrees
Positions (direct):
P: 0.000 0.250 0.500
As: 0.000 0.000 0.000
P: 0.250 0.500 0.000
As: 0.500 0.500 0.500
P: 0.500 0.000 0.250
P: 0.750 0.500 0.000
P: 0.500 0.000 0.750
P: 0.000 0.750 0.500

## Properties
energy relative to the lowest polymorph listed for this composition = 3.179 eV/f.u.
space group = No. 223
energy of formation = 3.4 eV/f.u.
total DFT energy (no corrections) = -4.365 eV/atom